Below is a geometry-optimized AgW4 structure, with properties calculated at the PBE-GGA level.

```
AgW4
1.0
4.694 0.000 0.000
0.000 4.694 0.000
0.000 0.000 4.694
W Ag
4 1
Direct
0.000 0.000 0.000
0.500 0.000 0.500
0.000 0.500 0.500
0.500 0.500 0.000
0.500 0.500 0.500
```

Properties
ρ in g cm⁻³: 13.53
Relative energy among the computed polymorphs in meV/atom: 2521